Entry 1:
This record from Alexandria describes a relaxed structure of MgAg2Os. The functional is GGA-PBEsol.

Cell and atoms, written as extended XYZ:
```
4
Lattice="2.6887 0.0000 0.0000 0.0000 4.1954 0.0000 0.0000 0.0000 5.6582" Properties=species:S:1:pos:R:3 pbc="T T T"
Mg 0.0000 0.0000 0.0000
Ag 0.0000 0.0000 2.7373
Ag 1.3444 2.0977 4.1490
Os 1.3444 2.0977 1.3047
```

Total DFT energy (no corrections)   -4.799 eV per atom
Space group   Pmm2, No. 25
Energy relative to the elements   0.340 eV per atom
Theoretical density   11.19 g cm⁻³



Entry 2:
This record from Alexandria describes a relaxed structure of Tl2FeAs. The functional is GGA-PBEsol.

Cell and atoms, written as extended XYZ:
```
4
Lattice="3.1441 0.0000 0.0000 0.0000 3.1441 0.0000 0.0000 0.0000 8.3912" Properties=species:S:1:pos:R:3 pbc="T T T"
Tl 0.0000 0.0000 0.0000
Tl 1.5721 1.5721 2.9061
Fe 0.0000 0.0000 5.0514
As 1.5721 1.5721 5.9577
```

Total DFT energy (no corrections)   -4.688 eV per atom
Space group   P4mm, No. 99
Energy relative to the elements   0.144 eV per atom
Theoretical density   10.80 g cm⁻³
Relative energy among the computed polymorphs   0 meV per atom



Entry 3:
This record from Alexandria describes a relaxed structure of Cs2BeO2. The functional is GGA-PBEsol.

Cell and atoms, written as extended XYZ:
```
5
Lattice="-2.1520 2.1520 6.3650 2.1520 -2.1520 6.3650 2.1520 2.1520 -6.3650" Properties=species:S:1:pos:R:3 pbc="T T T"
Cs 0.0000 0.0000 1.9681
Cs 0.0000 0.0000 10.7619
Be 0.0000 0.0000 6.3650
O 0.0000 0.0000 4.9243
O 0.0000 0.0000 7.8057
```

Total DFT energy (no corrections)   -4.976 eV per atom
Space group   I4/mmm, No. 139
Formation energy without anion corrections   -820 kJ/mol of formula units
Theoretical density   4.32 g cm⁻³
Relative energy among the computed polymorphs   104 meV per atom



Entry 4:
This record from Alexandria describes a relaxed structure of ScHgPb2. The functional is GGA-PBEsol.

Cell and atoms, written as extended XYZ:
```
4
Lattice="3.6425 -3.8534 0.0000 3.6425 3.8534 0.0000 0.0000 0.0000 3.4844" Properties=species:S:1:pos:R:3 pbc="T T T"
Sc 0.0000 0.0000 0.0000
Hg 3.6425 0.0000 0.0000
Pb 1.8213 1.9267 1.7422
Pb 1.8213 -1.9267 1.7422
```

Total DFT energy (no corrections)   -4.003 eV per atom
Space group   Cmmm, No. 65
Energy relative to the elements   -0.211 eV per atom
Theoretical density   11.20 g cm⁻³



Entry 5:
This record from Alexandria describes a relaxed structure of KCd5. The functional is GGA-PBEsol.

Cell and atoms, written as extended XYZ:
```
6
Lattice="6.8679 -1.4983 0.0000 6.8679 1.4983 0.0000 -1.6710 0.0000 7.1867" Properties=species:S:1:pos:R:3 pbc="T T T"
K 0.0000 0.0000 0.0000
Cd 3.4070 0.0000 1.5040
Cd 3.4258 0.0000 4.5503
Cd 8.0777 0.0000 3.1077
Cd 8.3826 0.0000 6.1919
Cd 12.4430 0.0000 3.2538
```

Total DFT energy (no corrections)   -1.180 eV per atom
Space group   Cm, No. 8
Energy relative to the elements   0.006 eV per atom
Theoretical density   6.75 g cm⁻³
Relative energy among the computed polymorphs   65 meV per atom



Entry 6:
This record from Alexandria describes a relaxed structure of La2CCl. The functional is GGA-PBEsol.

Cell and atoms, written as extended XYZ:
```
4
Lattice="1.9048 1.0997 7.2104 -1.9048 1.0997 7.2104 0.0000 -2.1994 7.2104" Properties=species:S:1:pos:R:3 pbc="T T T"
La 0.0000 0.0000 5.0242
La 0.0000 0.0000 16.6070
C 0.0000 0.0000 10.8156
Cl 0.0000 0.0000 0.0000
```

Total DFT energy (no corrections)   -6.637 eV per atom
Space group   R-3m, No. 166
Formation energy without anion corrections   -406 kJ/mol of formula units
Theoretical density   5.96 g cm⁻³



Entry 7:
This record from Alexandria describes a relaxed structure of K2CoTc. The functional is GGA-PBEsol.

Cell and atoms, written as extended XYZ:
```
4
Lattice="2.7555 0.0000 0.0000 0.0000 3.6528 0.0000 0.0000 0.0000 10.1408" Properties=species:S:1:pos:R:3 pbc="T T T"
K 0.0000 0.0000 0.0000
K 1.3778 1.8264 4.3619
Co 1.3778 1.8264 7.7038
Tc 0.0000 0.0000 6.9338
```

Total DFT energy (no corrections)   -4.499 eV per atom
Space group   Pmm2, No. 25
Energy relative to the elements   0.818 eV per atom
Theoretical density   3.83 g cm⁻³
Relative energy among the computed polymorphs   0 meV per atom



Entry 8:
This record from Alexandria describes a relaxed structure of Pt2RhW. The functional is GGA-PBEsol.

Cell and atoms, written as extended XYZ:
```
4
Lattice="0.0000 3.1017 3.1017 3.1017 0.0000 3.1017 3.1017 3.1017 0.0000" Properties=species:S:1:pos:R:3 pbc="T T T"
Pt 1.5509 1.5509 1.5509
Pt 4.6526 4.6526 4.6526
Rh 0.0000 0.0000 0.0000
W 3.1017 3.1017 3.1017
```

Total DFT energy (no corrections)   -8.906 eV per atom
Space group   Fm-3m, No. 225
Energy relative to the elements   0.062 eV per atom
Theoretical density   18.83 g cm⁻³
Relative energy among the computed polymorphs   349 meV per atom